Material: LaY3S
Method: DFT, PBE
State: optimized geometry

The value obtained for the formation energy from raw total energies is 0.9015 eV per atom. Its crystal system is cubic.

The space group is Pm-3m (No. 221) and the conventional cell measures 5.6224, 5.6224 and 5.6224 Å, with angles of 90.00, 90.00 and 90.00 degrees. The asymmetric unit holds La at (0.0000, 0.0000, 0.0000), Y at (0.0000, 0.0000, 0.5000) and S at (0.5000, 0.5000, 0.5000).

***

Material: AlCdRe2
Method: DFT, PBE
State: optimized geometry

Its crystal system is monoclinic. As for the total energy: -6.9801 eV per atom.

The space group is P2/m (No. 10) and the conventional cell measures 2.7546, 4.4608 and 5.3291 Å, with angles of 90.00, 100.92 and 90.00 degrees. The asymmetric unit holds Al at (0.0000, 0.0000, 0.0000), Cd at (0.5000, 0.0000, 0.5000) and Re at (0.2532, 0.5000, 0.7696).

***

Number 1: total moment 0.0 μB per cell. Number 2: total moment 0.0 μB per cell.